Entry 1:
Rb2Re2N after structural relaxation, computed with PBE.

```
5
Lattice="-2.804 2.076 0.417 -0.669 -1.525 3.094 4.264 7.412 6.571" Properties=species:S:1:pos:R:3 pbc="T T T"
Rb -0.733 1.469 2.561
Rb 1.523 6.494 7.521
N 0.000 0.000 0.000
Re 0.929 3.081 5.711
Re -0.139 4.882 4.372
```

Formation energy from raw total energies in meV/atom: 1309
SG: No. 139
Spin magnetization in μB/cell: 1.70
Polymorph energy (0 for the lowest one) in eV per atom: 0.000
Volume in Å³ per cell: 129.6
E_tot in Ha/atom: -0.21028

=====

Entry 2:
Rb3ReN4 after structural relaxation, computed with PBE.

```
32
Lattice="-4.108 -3.228 4.330 -2.566 -5.628 -6.630 9.468 -7.933 3.070" Properties=species:S:1:pos:R:3 pbc="T T T"
N -2.086 -4.519 -4.658
N 1.127 -9.680 -1.520
N 5.168 -10.556 -2.339
N -2.587 -5.223 0.299
N 1.667 -7.109 2.290
N -1.136 -7.823 -2.220
N 1.121 -9.996 2.915
N 0.831 -8.641 -4.323
N 3.931 -8.966 2.990
N -2.373 -6.233 3.109
N 5.382 -11.566 0.471
N -1.745 -3.375 2.476
N 4.881 -12.270 5.427
N 1.964 -8.147 5.093
N 4.539 -13.414 -1.707
N 1.674 -6.793 -2.145
Rb 3.546 -12.023 2.790
Rb 2.446 -11.655 -3.297
Rb 0.349 -5.134 4.067
Rb 6.682 -9.893 2.712
Rb 2.789 -5.266 0.290
Rb -0.869 -7.806 0.919
Rb -0.752 -4.766 -2.020
Rb 0.005 -11.523 0.479
Rb 3.664 -8.983 -0.149
Rb -1.970 -7.438 -5.168
Rb -3.887 -6.896 -1.943
Rb 4.765 -9.351 5.938
Re 5.629 -11.988 -1.302
Re 0.613 -8.243 -2.540
Re 2.181 -8.546 3.310
Re -2.834 -4.801 2.072
```

Formation energy from raw total energies in meV/atom: 29
SG: No. 62
Spin magnetization in μB/cell: 8.00
Volume in Å³ per cell: 783.1
E_tot in Ha/atom: -0.22242

=====

Entry 3:
RbReN3 after structural relaxation, computed with PBE.

```
5
Lattice="-0.803 -3.216 2.369 -0.019 -2.413 -3.283 3.994 -0.658 0.461" Properties=species:S:1:pos:R:3 pbc="T T T"
N -0.401 -1.608 1.184
N -0.009 -1.207 -1.641
N 1.997 -0.329 0.230
Rb 0.000 0.000 0.000
Re 1.586 -3.144 -0.227
```

Formation energy from raw total energies in meV/atom: 4126
SG: No. 221
Spin magnetization in μB/cell: 0.00
Volume in Å³ per cell: 67.6
E_tot in Ha/atom: -0.13056

=====

Entry 4:
RbReS2N after structural relaxation, computed with PBE.

```
5
Lattice="-1.960 -3.524 -2.821 3.564 0.679 -3.325 2.168 -2.635 1.786" Properties=species:S:1:pos:R:3 pbc="T T T"
S -0.980 -1.762 -1.411
S 1.782 0.340 -1.663
N 1.084 -1.318 0.893
Re 0.000 0.000 0.000
Rb 1.886 -2.740 -2.180
```

Formation energy from raw total energies in meV/atom: -130
SG: No. 123
Spin magnetization in μB/cell: 0.00
Polymorph energy (0 for the lowest one) in eV per atom: 0.000
Volume in Å³ per cell: 93.3
E_tot in Ha/atom: -0.22523